16
Lattice="-3.442 0.851 2.217 -4.271 1.747 -7.303 1.644 -8.887 2.021" Properties=species:S:1:pos:R:3 comment="YSi2Ir PBE-GGA relaxed" sg=Immm e_tot_ry_per_atom=-0.551 pbc="T T T"
Si -3.265 -2.365 -0.218
Ir -4.365 -4.513 -1.101
Y -4.764 -1.813 -2.757
Ir -1.704 -1.776 -1.964
Si -1.960 -2.899 2.014
Y -2.811 0.871 -0.755
Ir -3.855 -0.896 -5.643
Si -2.466 -0.261 -3.729
Y -1.305 -4.476 -0.308
Y -4.902 1.727 -4.331
Si -5.728 -5.120 -2.985
Si -3.602 -6.028 0.664
Ir -2.213 -5.393 2.578
Si -4.109 -3.390 -5.079
Si -0.341 -1.169 -0.080
Si -2.804 -3.924 -2.847

=====

20
Lattice="4.409 0.000 0.000 0.000 11.324 0.000 0.000 0.000 11.324" Properties=species:S:1:pos:R:3 comment="CaTl2In2Hg5 PBE-GGA relaxed" sg=P4/mbm delta_e_f_ev_per_atom=-0.125 pbc="T T T"
Ca 0.000 5.662 5.662
In 0.000 9.795 4.133
Hg 2.204 7.943 5.216
Hg 2.204 10.878 2.281
Hg 2.204 9.042 10.878
Hg 2.204 0.446 9.042
In 0.000 7.190 9.795
Ca 0.000 0.000 0.000
Tl 0.000 3.753 9.415
Tl 0.000 9.415 7.571
In 0.000 4.133 1.529
Hg 2.204 6.108 7.943
Hg 2.204 0.000 5.662
Hg 2.204 5.216 3.380
Hg 2.204 2.281 0.446
In 0.000 1.529 7.190
Hg 2.204 3.380 6.108
Hg 2.204 5.662 0.000
Tl 0.000 7.571 1.909
Tl 0.000 1.909 3.753